VASP calculation (PBE) on an optimized crystal structure of La2TlP.

As for the energy above the most stable polymorph in this dataset: 891 meV per atom. Its crystal system is cubic. Its total energy is -71.64 eV/cell.

Lattice parameters (Å, degrees): 7.541 7.541 7.541 90.00 90.00 90.00
Space group F-43m (No. 216)
One atom of each set of equivalent atoms:
La 0.000 0.000 0.000 [4 per cell]
La 0.250 0.250 0.250 [4 per cell]
Tl 0.000 0.000 0.500 [4 per cell]
P 0.250 0.250 0.750 [4 per cell]